Entry 1:
The following is a PBE-GGA calculation of crystalline K2NiAgBr6 at its relaxed geometry, from Alexandria.

Computed properties:
Energy relative to the elements, uncorrected ... -865 meV/atom
Theoretical density ... 4188 kg/m3
D(E_F) ... 3.2 states/eV per cell

Unit cell a=7.3347 b=7.4289 c=12.8171 alpha=90.00 beta=124.68 gamma=90.00
Closest atoms and distances in Å follow each position.
Fractional positions:
K  0.2366  0.0492  0.2502  8 Br 3.36-3.60
K  0.2366  0.4508  0.7502  8 Br 3.36-3.60
K  0.7634  0.5492  0.2498  8 Br 3.36-3.60
K  0.7634  0.9508  0.7498  8 Br 3.36-3.60
Ni  0.5000  0.0000  0.0000  6 Br 2.49-2.55
Ni  0.5000  0.5000  0.5000  6 Br 2.49-2.55
Ag  0.0000  0.0000  0.5000  6 Br 2.76-2.84
Ag  0.0000  0.5000  0.0000  6 Br 2.76-2.84
Br  0.1981  0.1980  0.9709  1 Ni 2.50
Br  0.1981  0.3020  0.4709  1 Ni 2.50
Br  0.2746  0.7223  0.9751  1 Ni 2.55, 1 Ag 2.76
Br  0.2746  0.7777  0.4751  1 Ni 2.55, 1 Ag 2.76
Br  0.3211  0.5033  0.2664  1 Ni 2.49
Br  0.3211  0.9967  0.7664  1 Ni 2.49
Br  0.6789  0.0033  0.2336  1 Ni 2.49
Br  0.6789  0.4967  0.7336  1 Ni 2.49
Br  0.7254  0.2223  0.5249  1 Ni 2.55, 1 Ag 2.76
Br  0.7254  0.2777  0.0249  1 Ni 2.55, 1 Ag 2.76
Br  0.8019  0.6980  0.5291  1 Ni 2.50
Br  0.8019  0.8020  0.0291  1 Ni 2.50



Entry 2:
The following is a PBE-GGA calculation of crystalline Ba2CaRe at its relaxed geometry, from Alexandria.

Computed properties:
Calculated formation energy ... 0.978 eV per atom
Offset from the most stable computed form ... 201.5 meV/atom
Theoretical density ... 6316 kg/m3
D(E_F) ... 8.9 states/eV per cell

Unit cell a=5.7109 b=5.7109 c=5.7109 alpha=60.00 beta=60.00 gamma=60.00
Closest atoms and distances in Å follow each position.
Fractional positions:
Ba  0.2500  0.2500  0.2500  4 Re 3.50, 4 Ca 3.50
Ba  0.7500  0.7500  0.7500  4 Re 3.50, 4 Ca 3.50
Ca  0.0000  0.0000  0.0000  8 Ba 3.50
Re  0.5000  0.5000  0.5000  8 Ba 3.50



Entry 3:
The following is a PBE-GGA calculation of crystalline Li2YPt at its relaxed geometry, from Alexandria.

Computed properties:
Calculated formation energy ... -0.324 eV per atom
Offset from the most stable computed form ... 228.5 meV/atom
Theoretical density ... 6802 kg/m3
D(E_F) ... 1.9 states/eV per cell

Unit cell a=3.1983 b=4.0115 c=5.6681 alpha=90.00 beta=90.00 gamma=90.00
Closest atoms and distances in Å follow each position.
Fractional positions:
Li  0.0000  0.0000  0.1930  1 Li 2.19
Li  0.0000  0.0000  0.8070  1 Li 2.19
Y  0.5000  0.5000  0.5000  2 Pt 2.83, 8 Li 3.10
Pt  0.5000  0.5000  0.0000  8 Li 2.79, 2 Y 2.83